(1)
## RbLiYH2 (PBE-GGA)

Data for crystalline RbLiYH2 at its relaxed geometry.

Summary:
DFT total energy: -2.819 eV/atom

a = 4.380 Å, b = 4.380 Å, c = 7.728 Å
α = 90.00°, β = 90.00°, γ = 90.00°
Space group P4/mmm (No. 123)
Asymmetric unit:
Rb 0.000 0.000 0.000 [1 per cell]
Li 0.500 0.500 0.000 [1 per cell]
Y 0.000 0.000 0.500 [1 per cell]
H 0.000 0.500 0.500 [2 per cell]


(2)
## Rb2LiZnH4 (PBE-GGA)

Data for crystalline Rb2LiZnH4 at its relaxed geometry.

Summary:
DFT total energy: -2.453 eV/atom

a = 4.860 Å, b = 10.435 Å, c = 31.082 Å
α = 90.00°, β = 90.00°, γ = 90.00°
Space group Fddd (No. 70, origin choice 2)
Asymmetric unit:
Rb 0.125 0.125 0.308 [16 per cell]
Li 0.125 0.125 0.125 [8 per cell]
Zn 0.125 0.125 0.625 [8 per cell]
H 0.095 0.283 0.848 [32 per cell]


(3)
## RbLi3Zn4H12 (PBE-GGA)

Data for crystalline RbLi3Zn4H12 at its relaxed geometry.

Summary:
DFT total energy: -2.669 eV/atom

a = 10.5589 Å, b = 10.5589 Å, c = 7.2871 Å
α = 90.00°, β = 90.00°, γ = 120.00°
Space group R32 (No. 155, hexagonal axes)
Asymmetric unit:
Rb 0.0000 0.0000 0.0000 [3 per cell]
Li 0.0000 0.5627 0.0000 [9 per cell]
Zn 0.0000 0.0000 0.5000 [3 per cell]
Zn 0.0000 0.4284 0.5000 [9 per cell]
H 0.0000 0.5820 0.5000 [9 per cell]
H 0.0000 0.8461 0.5000 [9 per cell]
H 0.0626 0.2471 0.1688 [18 per cell]